The following is a DFT calculation (PBE+U) of an optimized crystal structure of CrSbF3.

Cell lengths 4.567, 4.567, 4.567 Å; angles 90.00, 90.00, 90.00 degrees
Space group Pm-3m (No. 221)
One atom of each set of equivalent atoms:
Cr1 0.000 0.000 0.000 (multiplicity 1)
Sb1 0.500 0.500 0.500 (multiplicity 1)
F1 0.000 0.500 0.500 (multiplicity 3)

Summary:
M_tot = 5.88 Bohr magnetons per cell
E above lowest polymorph = 214 meV per atom
Density = 4.023 Mg/m³
VASP energy = -4.745 eV per atom